The following is a DFT calculation (PBE-GGA) of a relaxed Ba2SnAsPt6 crystal.

Cell: 6.8922 6.8922 8.5504 Å, 125.63 125.63 49.28°
Element x y z (fractional)
Ba (0.2487, 0.2487, 0.1946)
Ba (0.7513, 0.7513, 0.8054)
Sn (0.5000, 0.5000, 0.0000)
As (0.0000, 0.0000, 0.5000)
Pt (0.2169, 0.7140, 0.7048)
Pt (0.2485, 0.2485, 0.6235)
Pt (0.2860, 0.7831, 0.2952)
Pt (0.7140, 0.2169, 0.7048)
Pt (0.7515, 0.7515, 0.3765)
Pt (0.7831, 0.2860, 0.2952)

Properties
As for the space group: C2/m (12). As for the formation enthalpy at 0 K: -6.41 eV/f.u.

The following is a DFT calculation (PBE-GGA) of a relaxed Rb2LaMgBi crystal.

Cell: 6.6767 6.6767 5.9927 Å, 90.00 90.00 90.00°
Element x y z (fractional)
Rb (0.0000, 0.5000, 0.0000)
Rb (0.5000, 0.0000, 0.0000)
La (0.0000, 0.0000, 0.5000)
Mg (0.5000, 0.5000, 0.5000)
Bi (0.5000, 0.5000, 0.0000)

Properties
As for the space group: P4/mmm (123). As for the formation enthalpy at 0 K: 2.60 eV/f.u.

The following is a DFT calculation (PBE-GGA) of a relaxed La2CeYAs4 crystal.

Cell: 7.3897 4.2746 7.4116 Å, 90.00 109.42 90.00°
Element x y z (fractional)
La (0.0000, 0.0000, 0.0000)
La (0.5000, 0.5000, 0.0000)
Ce (0.0000, 0.5000, 0.5000)
Y (0.5000, 0.0000, 0.5000)
As (0.2472, 0.0000, 0.7382)
As (0.2546, 0.5000, 0.2624)
As (0.7454, 0.5000, 0.7376)
As (0.7528, 0.0000, 0.2618)

Properties
As for the space group: P2/m (10). As for the formation enthalpy at 0 K: -12.23 eV/f.u.

The following is a DFT calculation (PBE-GGA) of a relaxed TaTc2Ru crystal.

Cell: 4.4381 4.4381 4.4381 Å, 60.00 60.00 60.00°
Element x y z (fractional)
Ta (0.0000, 0.0000, 0.0000)
Tc (0.2500, 0.2500, 0.2500)
Tc (0.7500, 0.7500, 0.7500)
Ru (0.5000, 0.5000, 0.5000)

Properties
As for the space group: Fm-3m (225). As for the formation enthalpy at 0 K: 0.36 eV/f.u.

The following is a DFT calculation (PBE-GGA) of a relaxed LaCo2BRh crystal.

Cell: 4.0883 4.0883 4.2368 Å, 90.00 90.00 90.00°
Element x y z (fractional)
La (0.0000, 0.0000, 0.0000)
Co (0.0000, 0.5000, 0.5000)
Co (0.5000, 0.0000, 0.5000)
B (0.5000, 0.5000, 0.5000)
Rh (0.5000, 0.5000, 0.0000)

Properties
As for the space group: P4/mmm (123). As for the formation enthalpy at 0 K: -1.62 eV/f.u.

The following is a DFT calculation (PBE-GGA) of a relaxed MgMo2W crystal.

Cell: 2.6732 2.6732 9.3673 Å, 90.00 90.00 90.00°
Element x y z (fractional)
Mg (0.0000, 0.0000, 0.0000)
Mo (0.5000, 0.5000, 0.2538)
Mo (0.5000, 0.5000, 0.7462)
W (0.0000, 0.0000, 0.5000)

Properties
As for the space group: P4/mmm (123). As for the formation enthalpy at 0 K: 1.56 eV/f.u.

The following is a DFT calculation (PBE-GGA) of a relaxed Cs2SeCl4F2 crystal.

Cell: 7.3376 7.3376 7.3376 Å, 120.64 120.64 88.89°
Element x y z (fractional)
Cs (0.2500, 0.7500, 0.5000)
Cs (0.7500, 0.2500, 0.5000)
Se (0.0000, 0.0000, 0.0000)
Cl (0.2384, 0.2384, 0.4768)
Cl (0.2384, 0.7616, 0.0000)
Cl (0.7616, 0.2384, 0.0000)
Cl (0.7616, 0.7616, 0.5232)
F (0.1854, 0.1854, 0.0000)
F (0.8146, 0.8146, 0.0000)

Properties
As for the space group: I4/mmm (139). Its uncorrected formation energy is -1.53 eV per atom.

The following is a DFT calculation (PBE-GGA) of a relaxed Pm2Mn12Si7 crystal.

Cell: 9.7230 9.7230 3.6097 Å, 90.00 90.00 120.00°
Element x y z (fractional)
Pm (0.0000, 0.0000, 0.0000)
Pm (0.3333, 0.6667, 0.5000)
Mn (0.0515, 0.2854, 0.5000)
Mn (0.0955, 0.7132, 0.0000)
Mn (0.2339, 0.9485, 0.5000)
Mn (0.2868, 0.3823, 0.0000)
Mn (0.4426, 0.2056, 0.0000)
Mn (0.5116, 0.4559, 0.5000)
Mn (0.5441, 0.0558, 0.5000)
Mn (0.6177, 0.9045, 0.0000)
Mn (0.7146, 0.7661, 0.5000)
Mn (0.7630, 0.5574, 0.0000)
Mn (0.7944, 0.2370, 0.0000)
Mn (0.9442, 0.4884, 0.5000)
Si (0.0794, 0.4529, 0.0000)
Si (0.2635, 0.2121, 0.5000)
Si (0.3735, 0.9206, 0.0000)
Si (0.5471, 0.6265, 0.0000)
Si (0.6667, 0.3333, 0.5000)
Si (0.7879, 0.0515, 0.5000)
Si (0.9485, 0.7365, 0.5000)

Properties
As for the space group: P-6 (174). Its uncorrected formation energy is -0.37 eV per atom.

The following is a DFT calculation (PBE-GGA) of a relaxed Sr2Ga3PdPt4 crystal.

Cell: 4.2314 4.2314 11.1666 Å, 90.00 90.00 90.00°
Element x y z (fractional)
Sr (0.0000, 0.5000, 0.2438)
Sr (0.5000, 0.0000, 0.7562)
Ga (0.0000, 0.0000, 0.0000)
Ga (0.0000, 0.5000, 0.6291)
Ga (0.5000, 0.0000, 0.3709)
Pd (0.5000, 0.5000, 0.0000)
Pt (0.0000, 0.0000, 0.5000)
Pt (0.0000, 0.5000, 0.8512)
Pt (0.5000, 0.0000, 0.1488)
Pt (0.5000, 0.5000, 0.5000)

Properties
As for the space group: P-4m2 (115). As for the formation enthalpy at 0 K: -7.94 eV/f.u.

The following is a DFT calculation (PBE-GGA) of a relaxed PrErZr2 crystal.

Cell: 11.2183 11.2183 11.2183 Å, 17.29 17.29 17.29°
Element x y z (fractional)
Pr (0.0000, 0.0000, 0.0000)
Er (0.5000, 0.5000, 0.5000)
Zr (0.2483, 0.2483, 0.2483)
Zr (0.7517, 0.7517, 0.7517)

Properties
As for the space group: R-3m (166). As for the formation enthalpy at 0 K: 0.69 eV/f.u.

The following is a DFT calculation (PBE-GGA) of a relaxed Al2PbBr crystal.

Cell: 3.4036 3.4036 8.5572 Å, 90.00 90.00 90.00°
Element x y z (fractional)
Al (0.0000, 0.0000, 0.2391)
Al (0.0000, 0.0000, 0.7609)
Pb (0.5000, 0.5000, 0.5000)
Br (0.5000, 0.5000, 0.0000)

Properties
As for the space group: P4/mmm (123). Its uncorrected formation energy is 0.20 eV per atom.

The following is a DFT calculation (PBE-GGA) of a relaxed HoThZr2N4 crystal.

Cell: 5.9197 5.9197 5.9197 Å, 131.74 131.74 70.64°
Element x y z (fractional)
Ho (0.0000, 0.0000, 0.0000)
Th (0.2500, 0.7500, 0.5000)
Zr (0.5000, 0.5000, 0.0000)
Zr (0.7500, 0.2500, 0.5000)
N (0.2529, 0.2529, 0.0000)
N (0.5069, 0.0069, 0.5000)
N (0.7471, 0.7471, 0.0000)
N (0.9931, 0.4931, 0.5000)

Properties
As for the space group: I-4m2 (119). Its uncorrected formation energy is -1.59 eV per atom.

Number 1: spin magnetization 0.00 μB per formula unit, final energy -55.15 eV/cell. Number 2: spin magnetization 1.22 μB per formula unit, final energy -9.74 eV/cell. Number 3: spin magnetization 0.59 μB per formula unit, final energy -53.08 eV/cell. Number 4: spin magnetization 1.73 μB per formula unit, final energy -41.51 eV/cell. Number 5: spin magnetization 0.77 μB per formula unit, final energy -34.79 eV/cell. Number 6: spin magnetization 0.00 μB per formula unit, final energy -34.65 eV/cell. Number 7: spin magnetization 0.00 μB per formula unit, final energy -30.08 eV/cell. Number 8: spin magnetization 24.24 μB per formula unit, final energy -165.21 eV/cell. Number 9: spin magnetization 0.00 μB per formula unit, final energy -49.75 eV/cell. Number 10: spin magnetization 0.00 μB per formula unit, final energy -25.75 eV/cell. Number 11: spin magnetization 0.00 μB per formula unit, final energy -12.07 eV/cell. Number 12: spin magnetization 0.00 μB per formula unit, final energy -75.15 eV/cell.